MgIn2Ag2: optimized geometry, PBE.

Total magnetization = 0.00 μB/cell
Distance to the lowest polymorph of the same formula = 0.0 meV/atom
N(E_F) = 0.488 states/eV per atom
Final energy = -2.65 eV per atom

Cell: 4.702 4.715 9.990 Å, 90.00 90.00 90.00°
Atoms (fractional coordinates):
Mg1 0.250 0.250 0.175
Mg2 0.750 0.750 0.825
In1 0.250 0.250 0.498
In2 0.250 0.250 0.824
In3 0.750 0.750 0.176
In4 0.750 0.750 0.502
Ag1 0.250 0.750 0.001
Ag2 0.250 0.750 0.333
Ag3 0.750 0.250 0.667
Ag4 0.750 0.250 0.999

AcPm2Mg: optimized geometry, PBE.

Total magnetization = 0.00 μB/cell
Distance to the lowest polymorph of the same formula = 62.3 meV/atom
N(E_F) = 1.719 states/eV per atom
Final energy = -3.77 eV per atom

Cell: 5.097 5.097 5.250 Å, 90.00 90.00 90.00°
Atoms (fractional coordinates):
Ac1 0.000 0.000 0.000
Pm1 0.000 0.500 0.500
Pm2 0.500 0.000 0.500
Mg1 0.500 0.500 0.000

SiTeN2F: optimized geometry, PBE.

Total magnetization = 0.00 μB/cell
Formation energy without anion corrections = 0.238 eV/atom
Distance to the lowest polymorph of the same formula = 243.5 meV/atom
N(E_F) = 0.300 states/eV per atom
Final energy = -5.18 eV per atom

Cell: 3.473 3.473 5.935 Å, 90.00 90.00 90.00°
Atoms (fractional coordinates):
Si1 0.000 0.000 0.000
Te1 0.000 0.000 0.500
N1 0.000 0.500 0.000
N2 0.500 0.000 0.000
F1 0.500 0.500 0.500

CsPuTh2O8: optimized geometry, PBE.

Total magnetization = 0.99 μB/cell
Formation energy without anion corrections = -2.779 eV/atom
N(E_F) = 0.006 states/eV per atom
Final energy = -8.59 eV per atom

Cell: 5.310 5.468 7.484 Å, 89.89 89.79 88.94°
Atoms (fractional coordinates):
Cs1 0.000 0.000 0.000
Pu1 0.000 0.000 0.500
Th1 0.500 0.500 0.248
Th2 0.500 0.500 0.752
O1 0.201 0.828 0.680
O2 0.204 0.831 0.320
O3 0.287 0.305 0.500
O4 0.293 0.399 0.001
O5 0.707 0.601 0.999
O6 0.713 0.695 0.500
O7 0.796 0.169 0.680
O8 0.799 0.172 0.320

Zr5TiZn6: optimized geometry, PBE.

Total magnetization = 0.00 μB/cell
N(E_F) = 0.237 states/eV per atom
Final energy = -5.11 eV per atom

Cell: 7.409 7.409 6.617 Å, 90.00 90.00 143.12°
Atoms (fractional coordinates):
Zr1 0.000 0.000 0.000
Zr2 0.330 0.670 0.000
Zr3 0.334 0.666 0.500
Zr4 0.666 0.334 0.500
Zr5 0.670 0.330 0.000
Ti1 0.000 0.000 0.500
Zn1 0.162 0.838 0.258
Zn2 0.162 0.838 0.742
Zn3 0.500 0.500 0.257
Zn4 0.500 0.500 0.743
Zn5 0.838 0.162 0.258
Zn6 0.838 0.162 0.742

PdSNO2: optimized geometry, PBE.

Total magnetization = 0.00 μB/cell
Formation energy without anion corrections = 0.839 eV/atom
N(E_F) = 0.631 states/eV per atom
Final energy = -4.67 eV per atom

Cell: 3.385 3.385 4.566 Å, 90.00 90.00 90.00°
Atoms (fractional coordinates):
Pd1 0.000 0.000 0.000
S1 0.500 0.500 0.500
N1 0.500 0.500 0.000
O1 0.000 0.500 0.500
O2 0.500 0.000 0.500

HfCo: optimized geometry, PBE.

Total magnetization = 0.00 μB/cell
N(E_F) = 0.819 states/eV per atom
Final energy = -8.65 eV per atom

Cell: 7.003 7.003 4.758 Å, 90.00 90.00 120.00°
Atoms (fractional coordinates):
Hf1 0.110 0.779 0.250
Hf2 0.221 0.331 0.250
Hf3 0.331 0.110 0.750
Hf4 0.669 0.890 0.250
Hf5 0.779 0.669 0.750
Hf6 0.890 0.221 0.750
Co1 0.126 0.644 0.750
Co2 0.356 0.483 0.750
Co3 0.483 0.126 0.250
Co4 0.517 0.874 0.750
Co5 0.644 0.517 0.250
Co6 0.874 0.356 0.250

SmTm2Zn6: optimized geometry, PBE.

Total magnetization = 0.00 μB/cell
N(E_F) = 0.700 states/eV per atom
Final energy = -2.74 eV per atom

Cell: 7.750 7.750 3.485 Å, 90.00 90.00 120.00°
Atoms (fractional coordinates):
Sm1 0.000 0.000 0.000
Tm1 0.333 0.667 0.000
Tm2 0.667 0.333 0.000
Zn1 0.000 0.336 0.500
Zn2 0.000 0.664 0.500
Zn3 0.336 0.000 0.500
Zn4 0.336 0.336 0.500
Zn5 0.664 0.000 0.500
Zn6 0.664 0.664 0.500